CsZrAgCl6 | Alexandria via LeMat-Bulk | GGA-PBE | relaxed; uncorrected energy = -4.17 eV per atom; energy relative to the elements, uncorrected = -1579.3 meV/atom; D(E_F) = 0.00 states/eV per atom
1.0
7.070 0.000 0.000
-3.535 6.123 0.000
0.000 0.000 14.926
Cs Zr Ag Cl
2 2 2 12
direct
0.000 0.000 0.000 Cs
0.000 0.000 0.500 Cs
0.333 0.667 0.250 Zr
0.667 0.333 0.750 Zr
0.333 0.667 0.750 Ag
0.667 0.333 0.250 Ag
0.032 0.397 0.152 Cl
0.032 0.634 0.348 Cl
0.366 0.397 0.348 Cl
0.366 0.968 0.152 Cl
0.397 0.032 0.652 Cl
0.397 0.366 0.848 Cl
0.603 0.634 0.152 Cl
0.603 0.968 0.348 Cl
0.634 0.032 0.848 Cl
0.634 0.603 0.652 Cl
0.968 0.366 0.652 Cl
0.968 0.603 0.848 Cl


CuAg4Cl7 | Alexandria via LeMat-Bulk | GGA-PBE | relaxed; uncorrected energy = -2.77 eV per atom; energy relative to the elements, uncorrected = -403.9 meV/atom; D(E_F) = 0.90 states/eV per atom
1.0
6.929 -1.904 0.000
6.929 1.904 0.000
-6.439 0.000 11.687
Cu Ag Cl
1 4 7
direct
0.000 0.000 0.000 Cu
0.293 0.293 0.095 Ag
0.564 0.564 0.807 Ag
0.584 0.584 0.506 Ag
0.788 0.788 0.401 Ag
0.008 0.008 0.578 Cl
0.190 0.190 0.459 Cl
0.211 0.211 0.879 Cl
0.344 0.344 0.304 Cl
0.615 0.615 0.065 Cl
0.931 0.931 0.810 Cl
0.941 0.941 0.128 Cl


Cu4AgCl8 | Alexandria via LeMat-Bulk | GGA-PBE | relaxed; uncorrected energy = -3.10 eV per atom; energy relative to the elements, uncorrected = -479.0 meV/atom; D(E_F) = 0.51 states/eV per atom
1.0
6.737 0.000 0.000
0.000 7.401 0.000
-3.362 -3.595 6.197
Cu Ag Cl
4 1 8
direct
0.000 0.000 0.000 Cu
0.000 0.500 0.500 Cu
0.500 0.000 0.000 Cu
0.500 0.500 0.500 Cu
0.000 0.000 0.500 Ag
0.234 0.201 0.969 Cl
0.244 0.711 0.489 Cl
0.254 0.289 0.511 Cl
0.254 0.794 0.008 Cl
0.746 0.206 0.992 Cl
0.746 0.711 0.489 Cl
0.756 0.289 0.511 Cl
0.766 0.799 0.031 Cl


CuAg3Cl | Alexandria via LeMat-Bulk | GGA-PBE | relaxed; uncorrected energy = -2.12 eV per atom; distance to the lowest polymorph of the same formula = 309 meV/atom; energy relative to the elements, uncorrected = 778.5 meV/atom; D(E_F) = 0.40 states/eV per atom
1.0
5.021 0.000 0.000
0.000 5.021 0.000
0.000 0.000 5.021
Cu Ag Cl
1 3 1
direct
0.000 0.000 0.000 Cu
0.000 0.500 0.500 Ag
0.500 0.000 0.500 Ag
0.500 0.500 0.000 Ag
0.500 0.500 0.500 Cl